Below is a relaxed Ga5Ag3Au2 crystal, with properties calculated at the PBE level.

abc: 5.7987 8.7285 8.7285
angles: 93.31 70.60 70.60
With the nearest neighbours (Å) after each atom.
Sites, in units of the cell vectors:
Ag 0.6313 0.6800 0.0573  4 Au 2.95-3.06, 4 Ga 2.97-3.09, 2 Ag 3.12
Ga 0.5874 0.2540 0.5713  1 Au 2.50, 2 Ga 2.65
Ga 0.9939 0.2561 0.2561  1 Ga 2.56, 2 Au 2.63, 1 Ag 2.69
Ga 0.4126 0.7460 0.4287  1 Au 2.50, 2 Ga 2.65
Ga 0.9126 0.4287 0.7460  1 Au 2.50, 2 Ga 2.65
Ga 0.0061 0.7439 0.7439  1 Ga 2.56, 2 Au 2.63, 1 Ag 2.69
Ag 0.3687 0.3200 0.9427  4 Au 2.95-3.06, 4 Ga 2.97-3.09, 2 Ag 3.12
Ga 0.4939 0.2561 0.2561  1 Ga 2.56, 2 Au 2.63, 1 Ag 2.69
Ga 0.0874 0.5713 0.2540  1 Au 2.50, 2 Ga 2.65
Au 0.8426 0.3104 0.0045  3 Ga 2.50-2.63
Ga 0.2500 0.5000 0.5000  6 Ga 2.56-2.65
Au 0.3426 0.0045 0.3104  3 Ga 2.50-2.63
Ag 0.2500 0.0000 0.0000  2 Ga 2.69, 2 Ag 2.90, 4 Au 2.93
Au 0.1574 0.6896 0.9955  3 Ga 2.50-2.63
Ag 0.7500 0.0000 0.0000  2 Ga 2.69, 2 Ag 2.90, 4 Au 2.93
Ag 0.8687 0.9427 0.3200  4 Au 2.95-3.06, 4 Ga 2.97-3.09, 2 Ag 3.12
Au 0.6574 0.9955 0.6896  3 Ga 2.50-2.63
Ga 0.5061 0.7439 0.7439  1 Ga 2.56, 2 Au 2.63, 1 Ag 2.69
Ag 0.1313 0.0573 0.6800  4 Au 2.95-3.06, 4 Ga 2.97-3.09, 2 Ag 3.12
Ga 0.7500 0.5000 0.5000  6 Ga 2.56-2.65

Values from the calculation:
uncorrected energy	-60.3	eV for the cell shown
E_form	0.01	eV/atom
space group	Ibam (72)
D(E_F)	5.0	states/eV/cell